<i>
Below is a relaxed Y4BiAs2 crystal, with properties calculated at the PBE-GGA level.

Calculated density (g cm⁻³): 6.06
Crystal system: orthorhombic
SG: Cmcm, No. 63
Fermi-level density of states (states/eV/cell): 9.38

a = 4.203 Å, b = 7.067 Å, c = 13.817 Å
α = 90.00°, β = 90.00°, γ = 107.30°
Fractional coordinates of all 14 atoms:
As (0.134, 0.268, 0.442)
Y (0.236, 0.472, 0.619)
As (0.134, 0.268, 0.058)
Y (0.236, 0.472, 0.881)
As (0.866, 0.732, 0.558)
Bi (0.608, 0.216, 0.750)
Y (0.936, 0.872, 0.750)
As (0.866, 0.732, 0.942)
Y (0.064, 0.128, 0.250)
Y (0.764, 0.528, 0.381)
Y (0.500, 0.000, 0.000)
Bi (0.392, 0.784, 0.250)
Y (0.500, 0.000, 0.500)
Y (0.764, 0.528, 0.119)



<ii>
Below is a relaxed Y4BiAs2 crystal, with properties calculated at the PBE-GGA level.

Calculated density (g cm⁻³): 4.95
Crystal system: tetragonal
SG: I4/mmm, No. 139
Fermi-level density of states (states/eV/cell): 7.09

a = 5.657 Å, b = 5.657 Å, c = 8.494 Å
α = 70.55°, β = 70.55°, γ = 90.00°
Fractional coordinates of all 7 atoms:
Y (0.500, 0.000, 0.000)
Bi (0.000, 0.000, 0.000)
As (0.608, 0.608, 0.784)
As (0.392, 0.392, 0.216)
Y (0.000, 0.500, 0.000)
Y (0.787, 0.787, 0.426)
Y (0.213, 0.213, 0.574)



Which of them is most stable? Easy: <i>.



<i>
Below is a relaxed Zn2Bi2As crystal, with properties calculated at the PBE-GGA level.

Calculated density (g cm⁻³): 8.65
Crystal system: tetragonal
SG: I4/mmm, No. 139
Fermi-level density of states (states/eV/cell): 2.93

a = 3.778 Å, b = 3.778 Å, c = 8.807 Å
α = 77.61°, β = 77.61°, γ = 90.00°
Fractional coordinates of all 5 atoms:
Bi (0.604, 0.604, 0.793)
Zn (0.750, 0.250, 0.500)
Bi (0.396, 0.396, 0.207)
As (0.000, 0.000, 0.000)
Zn (0.250, 0.750, 0.500)



<ii>
Below is a relaxed Zn2Bi2As crystal, with properties calculated at the PBE-GGA level.

Calculated density (g cm⁻³): 8.25
Crystal system: tetragonal
SG: P4/mbm, No. 127
Fermi-level density of states (states/eV/cell): 4.20

a = 8.656 Å, b = 8.656 Å, c = 3.350 Å
α = 90.00°, β = 90.00°, γ = 90.00°
Fractional coordinates of all 10 atoms:
As (0.000, 0.000, 0.000)
Zn (0.899, 0.399, 0.500)
Zn (0.399, 0.101, 0.500)
Bi (0.207, 0.293, 0.000)
Bi (0.793, 0.707, 0.000)
Zn (0.101, 0.601, 0.500)
Zn (0.601, 0.899, 0.500)
Bi (0.293, 0.793, 0.000)
As (0.500, 0.500, 0.000)
Bi (0.707, 0.207, 0.000)



Which of them is most stable? Easy: <i>.



<i>
Below is a relaxed ZnBi2As2 crystal, with properties calculated at the PBE-GGA level.

Calculated density (g cm⁻³): 6.55
Crystal system: tetragonal
SG: I4/mmm, No. 139
Fermi-level density of states (states/eV/cell): 1.68

a = 5.142 Å, b = 5.142 Å, c = 7.076 Å
α = 68.69°, β = 68.69°, γ = 90.00°
Fractional coordinates of all 5 atoms:
Zn (0.000, 0.000, 0.000)
As (0.750, 0.250, 0.500)
Bi (0.640, 0.640, 0.721)
As (0.250, 0.750, 0.500)
Bi (0.360, 0.360, 0.279)



<ii>
Below is a relaxed ZnBi2As2 crystal, with properties calculated at the PBE-GGA level.

Calculated density (g cm⁻³): 8.33
Crystal system: tetragonal
SG: P4/mbm, No. 127
Fermi-level density of states (states/eV/cell): 5.81

a = 7.875 Å, b = 7.875 Å, c = 4.071 Å
α = 90.00°, β = 90.00°, γ = 90.00°
Fractional coordinates of all 10 atoms:
Zn (0.500, 0.500, 0.000)
As (0.158, 0.342, 0.000)
Bi (0.346, 0.154, 0.500)
Bi (0.154, 0.654, 0.500)
Bi (0.846, 0.346, 0.500)
As (0.658, 0.158, 0.000)
Zn (0.000, 0.000, 0.000)
Bi (0.654, 0.846, 0.500)
As (0.842, 0.658, 0.000)
As (0.342, 0.842, 0.000)



Which of them is most stable? Easy: <ii>.



<i>
Below is a relaxed Zn2BiAs2 crystal, with properties calculated at the PBE-GGA level.

Calculated density (g cm⁻³): 7.63
Crystal system: tetragonal
SG: I4/mmm, No. 139
Fermi-level density of states (states/eV/cell): 1.82

a = 3.933 Å, b = 3.933 Å, c = 7.429 Å
α = 74.65°, β = 74.65°, γ = 90.00°
Fractional coordinates of all 5 atoms:
Bi (0.000, 0.000, 0.000)
As (0.625, 0.625, 0.750)
Zn (0.250, 0.750, 0.500)
Zn (0.750, 0.250, 0.500)
As (0.375, 0.375, 0.250)



<ii>
Below is a relaxed Zn2BiAs2 crystal, with properties calculated at the PBE-GGA level.

Calculated density (g cm⁻³): 7.72
Crystal system: tetragonal
SG: I4/mmm, No. 139
Fermi-level density of states (states/eV/cell): 2.83

a = 4.341 Å, b = 4.341 Å, c = 6.375 Å
α = 70.09°, β = 70.09°, γ = 90.00°
Fractional coordinates of all 5 atoms:
Bi (0.000, 0.000, 0.000)
As (0.750, 0.250, 0.500)
Zn (0.611, 0.611, 0.778)
As (0.250, 0.750, 0.500)
Zn (0.389, 0.389, 0.222)



<iii>
Below is a relaxed Zn2BiAs2 crystal, with properties calculated at the PBE-GGA level.

Calculated density (g cm⁻³): 7.63
Crystal system: tetragonal
SG: P4/mbm, No. 127
Fermi-level density of states (states/eV/cell): 4.17

a = 8.057 Å, b = 8.057 Å, c = 3.281 Å
α = 90.00°, β = 90.00°, γ = 90.00°
Fractional coordinates of all 10 atoms:
Zn (0.377, 0.123, 0.500)
Bi (0.500, 0.500, 0.000)
As (0.823, 0.677, 0.000)
As (0.177, 0.323, 0.000)
Zn (0.623, 0.877, 0.500)
Zn (0.123, 0.623, 0.500)
As (0.323, 0.823, 0.000)
As (0.677, 0.177, 0.000)
Bi (0.000, 0.000, 0.000)
Zn (0.877, 0.377, 0.500)



Which of them is most stable? Easy: <i>.



<i>
Below is a relaxed ZnBiAs3 crystal, with properties calculated at the PBE-GGA level.

Calculated density (g cm⁻³): 7.06
Crystal system: cubic
SG: Pm-3m, No. 221
Fermi-level density of states (states/eV/cell): 4.25

a = 4.896 Å, b = 4.896 Å, c = 4.896 Å
α = 90.00°, β = 90.00°, γ = 90.00°
Fractional coordinates of all 5 atoms:
As (0.500, 0.000, 0.000)
Bi (0.500, 0.500, 0.500)
As (0.000, 0.000, 0.500)
Zn (0.000, 0.000, 0.000)
As (0.000, 0.500, 0.000)



<ii>
Below is a relaxed ZnBiAs3 crystal, with properties calculated at the PBE-GGA level.

Calculated density (g cm⁻³): 4.99
Crystal system: cubic
SG: Pm-3m, No. 221
Fermi-level density of states (states/eV/cell): 8.90

a = 5.498 Å, b = 5.498 Å, c = 5.498 Å
α = 90.00°, β = 90.00°, γ = 90.00°
Fractional coordinates of all 5 atoms:
Zn (0.500, 0.500, 0.500)
As (0.000, 0.500, 0.000)
As (0.500, 0.000, 0.000)
Bi (0.000, 0.000, 0.000)
As (0.000, 0.000, 0.500)



Which of them is most stable? Easy: <i>.



<i>
Below is a relaxed ZnBi2As crystal, with properties calculated at the PBE-GGA level.

Calculated density (g cm⁻³): 6.77
Crystal system: tetragonal
SG: I-42d, No. 122
Fermi-level density of states (states/eV/cell): 7.16

a = 6.417 Å, b = 6.417 Å, c = 8.050 Å
α = 66.51°, β = 66.51°, γ = 90.00°
Fractional coordinates of all 8 atoms:
Bi (0.611, 0.125, 0.250)
Bi (0.375, 0.389, 0.750)
As (0.000, 0.000, 0.000)
Zn (0.250, 0.750, 0.500)
Bi (0.875, 0.861, 0.750)
Bi (0.139, 0.625, 0.250)
Zn (0.500, 0.500, 0.000)
As (0.750, 0.250, 0.500)



<ii>
Below is a relaxed ZnBi2As crystal, with properties calculated at the PBE-GGA level.

Calculated density (g cm⁻³): 9.31
Crystal system: cubic
SG: Fm-3m, No. 225
Fermi-level density of states (states/eV/cell): 1.77

a = 5.203 Å, b = 5.203 Å, c = 5.203 Å
α = 60.00°, β = 60.00°, γ = 60.00°
Fractional coordinates of all 4 atoms:
As (0.500, 0.500, 0.500)
Bi (0.250, 0.250, 0.250)
Zn (0.000, 0.000, 0.000)
Bi (0.750, 0.750, 0.750)



Which of them is most stable? Easy: <i>.



<i>
Below is a relaxed As5Br4 crystal, with properties calculated at the PBE-GGA level.

Calculated density (g cm⁻³): 4.40
Crystal system: hexagonal
SG: P6_3/mcm, No. 193
Fermi-level density of states (states/eV/cell): 6.93

a = 10.630 Å, b = 10.630 Å, c = 5.361 Å
α = 90.00°, β = 90.00°, γ = 120.00°
Fractional coordinates of all 18 atoms:
As (0.333, 0.667, 0.500)
As (0.502, 0.502, 0.750)
Br (0.718, 0.718, 0.250)
As (0.333, 0.667, 0.000)
Br (0.000, 0.000, 0.000)
Br (0.282, 0.000, 0.250)
Br (0.000, 0.000, 0.500)
As (0.498, 0.498, 0.250)
Br (0.282, 0.282, 0.750)
As (0.000, 0.498, 0.750)
Br (0.718, 0.000, 0.750)
As (0.498, 0.000, 0.750)
As (0.000, 0.502, 0.250)
As (0.667, 0.333, 0.500)
Br (0.000, 0.718, 0.750)
As (0.667, 0.333, 0.000)
Br (0.000, 0.282, 0.250)
As (0.502, 0.000, 0.250)



<ii>
Below is a relaxed As5Br4 crystal, with properties calculated at the PBE-GGA level.

Calculated density (g cm⁻³): 3.35
Crystal system: tetragonal
SG: I4/mmm, No. 139
Fermi-level density of states (states/eV/cell): 2.96

a = 9.961 Å, b = 9.961 Å, c = 9.961 Å
α = 91.85°, β = 91.85°, γ = 159.29°
Fractional coordinates of all 9 atoms:
Br (0.000, 0.811, 0.811)
Br (0.189, 0.000, 0.189)
Br (0.000, 0.189, 0.189)
As (0.290, 0.710, 0.000)
As (0.000, 0.000, 0.000)
As (0.710, 0.290, 0.000)
As (0.710, 0.710, 0.421)
Br (0.811, 0.000, 0.811)
As (0.290, 0.290, 0.579)



Which of them is most stable? Easy: <ii>.



<i>
Below is a relaxed As2Br3 crystal, with properties calculated at the PBE-GGA level.

Calculated density (g cm⁻³): 4.32
Crystal system: trigonal
SG: R-3m, No. 166
Fermi-level density of states (states/eV/cell): 3.19

a = 9.102 Å, b = 9.102 Å, c = 9.102 Å
α = 28.28°, β = 28.28°, γ = 28.28°
Fractional coordinates of all 5 atoms:
Br (0.000, 0.000, 0.000)
Br (0.765, 0.765, 0.765)
Br (0.235, 0.235, 0.235)
As (0.389, 0.389, 0.389)
As (0.611, 0.611, 0.611)



<ii>
Below is a relaxed As2Br3 crystal, with properties calculated at the PBE-GGA level.

Calculated density (g cm⁻³): 3.55
Crystal system: trigonal
SG: P-3m1, No. 164
Fermi-level density of states (states/eV/cell): 0.51

a = 5.177 Å, b = 5.177 Å, c = 7.861 Å
α = 90.00°, β = 90.00°, γ = 120.00°
Fractional coordinates of all 5 atoms:
Br (0.667, 0.333, 0.686)
As (0.667, 0.333, 0.985)
As (0.333, 0.667, 0.015)
Br (0.000, 0.000, 0.000)
Br (0.333, 0.667, 0.314)



Which of them is most stable? Easy: <ii>.